1.
Material: NaRe2Os2
Method: DFT, PBE
State: relaxed

a b c (Å): 7.7769 7.7769 2.7375
angles (deg): 90.00 90.00 90.00
Space group P4/mbm (No. 127)
Unique sites:
Na  0.0000  0.0000  0.0000 x2
Re  0.1610  0.3390  0.5000 x4
Os  0.1272  0.6272  0.0000 x4

Crystal system: tetragonal
V, Å³ per atom: 16.56
Energy above the most stable polymorph in this dataset, meV/atom: 25
Formation energy from the elements, eV per atom: 0.36

---

2.
Material: Y2SiBiIr
Method: DFT, PBE
State: relaxed

a b c (Å): 5.7039 5.7039 4.9309
angles (deg): 90.00 90.00 90.00
Space group P4/mmm (No. 123)
Unique sites:
Y  0.0000  0.5000  0.0000 x2
Si  0.0000  0.0000  0.5000 x1
Bi  0.5000  0.5000  0.0000 x1
Ir  0.5000  0.5000  0.5000 x1

Crystal system: tetragonal
V, Å³ per atom: 32.08
ΔE_f (raw), kcal/mol of atoms: 18.99

---

3.
Material: Dy2Al2Tc2C
Method: DFT, PBE
State: relaxed

a b c (Å): 11.4275 3.4384 6.6352
angles (deg): 90.00 108.67 90.00
Space group C2/m (No. 12)
Unique sites:
Dy  0.0056  0.0000  0.2605 x4
Al  0.1975  0.5000  0.6290 x4
Tc  0.1810  0.5000  0.0852 x4
C  0.0000  0.5000  0.0000 x2

Crystal system: monoclinic
V, Å³ per atom: 17.64
Formation energy from the elements, eV per atom: -0.34

---

4.
Material: ZrReRu2
Method: DFT, PBE
State: relaxed

a b c (Å): 2.8070 2.8070 8.1468
angles (deg): 90.00 90.00 90.00
Space group P4mm (No. 99)
Unique sites:
Zr  0.0000  0.0000  0.0000 x1
Re  0.5000  0.5000  0.2821 x1
Ru  0.0000  0.0000  0.5045 x1
Ru  0.5000  0.5000  0.7271 x1

Crystal system: tetragonal
V, Å³ per atom: 16.05
Energy above the most stable polymorph in this dataset, meV/atom: 163
Formation energy from the elements, eV per atom: 0.08

---

no.,total magnetic moment (μB/f.u.)
1,0.0
2,0.0
3,0.0
4,0.0